[1]
! GdBi2ClO4, PBEsol geometry, DFT meta-GGA SCAN; values from VASP
! Symmetry   No. 123
! Formation energy without anion corrections   -16.59 eV per formula unit
&SYSTEM
  ibrav = 0, nat = 8, ntyp = 4
/
ATOMIC_SPECIES
Gd 157.25 Gd.upf
Bi 208.98 Bi.upf
Cl 35.45 Cl.upf
O 16.00 O.upf
ATOMIC_POSITIONS angstrom
Gd 0.0000 0.0000 0.0000
Bi 1.9351 1.9351 2.5167
Bi 1.9351 1.9351 6.3456
Cl 0.0000 0.0000 4.4311
O 0.0000 1.9351 1.4018
O 0.0000 1.9351 7.4605
O 1.9351 0.0000 1.4018
O 1.9351 0.0000 7.4605
CELL_PARAMETERS angstrom
3.8702 0.0000 0.0000
0.0000 3.8702 0.0000
0.0000 0.0000 8.8623

[2]
! Ge2BiCl2, PBEsol geometry, DFT meta-GGA SCAN; values from VASP
! Symmetry   No. 139
! Formation energy without anion corrections   0.51 eV per formula unit
&SYSTEM
  ibrav = 0, nat = 5, ntyp = 3
/
ATOMIC_SPECIES
Ge 72.64 Ge.upf
Bi 208.98 Bi.upf
Cl 35.45 Cl.upf
ATOMIC_POSITIONS angstrom
Ge 0.0000 0.0000 1.3750
Ge 0.0000 0.0000 10.7458
Bi 0.0000 0.0000 6.0604
Cl 2.1562 0.0000 3.0302
Cl 0.0000 2.1562 3.0302
CELL_PARAMETERS angstrom
-2.1562 2.1562 6.0604
2.1562 -2.1562 6.0604
2.1562 2.1562 -6.0604

[3]
! GeBiSCl2, PBEsol geometry, DFT meta-GGA SCAN; values from VASP
! Symmetry   No. 123
! Formation energy without anion corrections   0.63 eV per formula unit
&SYSTEM
  ibrav = 0, nat = 5, ntyp = 4
/
ATOMIC_SPECIES
Ge 72.64 Ge.upf
Bi 208.98 Bi.upf
S 32.06 S.upf
Cl 35.45 Cl.upf
ATOMIC_POSITIONS angstrom
Ge 0.0000 0.0000 0.0000
Bi 2.6316 2.6316 2.6859
S 2.6316 2.6316 0.0000
Cl 0.0000 2.6316 2.6859
Cl 2.6316 0.0000 2.6859
CELL_PARAMETERS angstrom
5.2633 0.0000 0.0000
0.0000 5.2633 0.0000
0.0000 0.0000 5.3717

[4]
! BiH2Cl, PBEsol geometry, DFT meta-GGA SCAN; values from VASP
! DFT total energy   -23.2023 eV/atom
! Symmetry   No. 141
&SYSTEM
  ibrav = 0, nat = 8, ntyp = 3
/
ATOMIC_SPECIES
Bi 208.98 Bi.upf
H 1.01 H.upf
Cl 35.45 Cl.upf
ATOMIC_POSITIONS angstrom
Bi 2.2585 1.1293 1.6416
Bi 0.0000 1.1293 4.9247
H 2.2585 0.0000 0.0000
H -1.1293 1.1293 3.2831
H 0.0000 0.0000 6.5662
H 1.1293 1.1293 3.2831
Cl 2.2585 -1.1293 4.9247
Cl 0.0000 3.3878 1.6416
CELL_PARAMETERS angstrom
-2.2585 2.2585 6.5662
2.2585 -2.2585 6.5662
2.2585 2.2585 -6.5662

> Number 3 is which compound?

GeBiSCl2